{
  "formula": "TcSn3",
  "functional": "PBE",
  "state": "relaxed",
  "energy_ev_per_cell": -44.58,
  "formation_enthalpy_0k_kj_per_mol_atoms": 2.1,
  "de_polymorph_mev_per_atom": 0,
  "lattice_angstrom": [[3.8626, 0.0000, 0.0000], [-1.9313, 4.9419, 0.0000], [0.0000, 0.0000, 9.1299]],
  "species": ["Sn", "Sn", "Sn", "Sn", "Sn", "Sn", "Tc", "Tc"],
  "fractional_positions": [[0.8604, 0.7207, 0.4570], [0.5672, 0.1344, 0.2500], [0.1396, 0.2793, 0.9570], [0.4328, 0.8656, 0.7500], [0.1396, 0.2793, 0.5430], [0.8604, 0.7207, 0.0430], [0.7239, 0.4477, 0.7500], [0.2761, 0.5523, 0.2500]]
}